w.
Entry from the Alexandria database: a relaxed Dy2HoTm6 crystal (GGA-PBE).

The structure in POSCAR format:
```
Dy2HoTm6
1.0
-1.169 3.623 3.166
-8.381 -5.458 3.151
5.796 -4.615 7.422
Dy Ho Tm
4 2 12
Direct
0.000 0.333 0.833
0.500 0.833 0.667
0.500 0.167 0.333
0.000 0.667 0.167
0.500 0.500 0.000
0.000 0.000 0.500
0.000 0.000 0.166
0.000 0.666 0.500
0.000 0.667 0.833
0.500 0.167 0.667
0.500 0.166 0.000
0.500 0.500 0.334
0.000 0.000 0.834
0.000 0.334 0.500
0.000 0.333 0.167
0.500 0.833 0.333
0.500 0.834 0.000
0.500 0.500 0.666
```

Properties
total magnetic moment: 0.00 Bohr magnetons per cell

x.
Entry from the Alexandria database: a relaxed Dy2HoTm6 crystal (GGA-PBE).

The structure in POSCAR format:
```
Dy2HoTm6
1.0
-2.083 4.226 -4.395
-8.751 -3.262 -1.161
-2.354 7.073 5.745
Dy Ho Tm
4 2 12
Direct
0.129 0.617 0.666
0.371 0.334 0.383
0.871 0.383 0.334
0.629 0.666 0.617
0.250 0.119 0.881
0.750 0.881 0.119
0.503 0.650 0.277
0.997 0.723 0.350
0.497 0.350 0.723
0.003 0.277 0.650
0.730 0.060 0.461
0.770 0.539 0.940
0.270 0.940 0.539
0.230 0.461 0.060
0.315 0.778 0.954
0.185 0.046 0.222
0.685 0.222 0.046
0.815 0.954 0.778
```

Properties
total magnetic moment: 0.00 Bohr magnetons per cell

It comes down to w, which is 0.083 eV/atom more stable than the next structure.

w.
Entry from the Alexandria database: a relaxed Dy2HoTm7 crystal (GGA-PBE).

The structure in POSCAR format:
```
Dy2HoTm7
1.0
-4.070 1.528 4.202
-1.604 -4.772 5.994
8.530 6.462 -2.810
Dy Ho Tm
2 1 7
Direct
0.500 0.900 0.600
0.500 0.100 0.400
0.000 0.000 0.000
0.000 0.600 0.400
0.000 0.400 0.600
0.500 0.700 0.801
0.500 0.300 0.199
0.000 0.800 0.200
0.000 0.200 0.800
0.500 0.500 0.000
```

Properties
total magnetic moment: 0.00 Bohr magnetons per cell

x.
Entry from the Alexandria database: a relaxed Dy2HoTm7 crystal (GGA-PBE).

The structure in POSCAR format:
```
Dy2HoTm7
1.0
5.091 0.000 0.000
0.000 9.507 -0.806
0.000 -5.008 8.121
Dy Ho Tm
2 1 7
Direct
0.500 0.701 0.299
0.500 0.299 0.701
0.000 0.000 0.000
0.000 0.805 0.195
0.000 0.195 0.805
0.500 0.071 0.286
0.500 0.929 0.714
0.500 0.286 0.071
0.500 0.714 0.929
0.500 0.500 0.500
```

Properties
total magnetic moment: 0.00 Bohr magnetons per cell

It comes down to w, which is 0.687 eV/atom more stable than the next structure.

w.
Entry from the Alexandria database: a relaxed Dy3Ho7Tm crystal (GGA-PBE).

The structure in POSCAR format:
```
Dy3Ho7Tm
1.0
2.383 2.426 -4.283
3.697 -8.696 -2.873
-8.573 -1.339 1.458
Dy Ho Tm
3 7 1
Direct
0.281 0.002 0.781
0.000 0.500 0.000
0.719 0.998 0.219
0.911 0.830 0.911
0.856 0.709 0.356
0.681 0.361 0.181
0.319 0.639 0.819
0.500 0.000 0.500
0.144 0.291 0.644
0.089 0.170 0.089
0.500 0.500 0.500
```

Properties
total magnetic moment: 0.00 Bohr magnetons per cell

x.
Entry from the Alexandria database: a relaxed Dy3Ho7Tm crystal (GGA-PBE).

The structure in POSCAR format:
```
Dy3Ho7Tm
1.0
-3.721 -2.611 -3.513
7.374 0.917 -3.784
4.139 -5.651 4.525
Dy Ho Tm
3 7 1
Direct
0.000 0.792 0.208
0.500 0.000 0.000
0.000 0.208 0.792
0.209 0.208 0.208
0.301 0.003 0.599
0.699 0.401 0.997
0.301 0.599 0.003
0.000 0.500 0.500
0.699 0.997 0.401
0.791 0.792 0.792
0.500 0.500 0.500
```

Properties
total magnetic moment: 0.39 Bohr magnetons per cell

It comes down to w, which is 0.130 eV/atom more stable than the next structure.

w.
Entry from the Alexandria database: a relaxed Dy4Ho8Tm3 crystal (GGA-PBE).

The structure in POSCAR format:
```
Dy4Ho8Tm3
1.0
6.656 -0.094 -0.135
-3.200 8.533 1.119
-3.200 -1.912 8.391
Dy Ho Tm
4 8 3
Direct
0.500 0.000 0.000
0.000 0.500 0.000
0.000 0.000 0.000
0.000 0.000 0.500
0.521 0.266 0.266
0.000 0.640 0.360
0.003 0.269 0.269
0.500 0.748 0.252
0.500 0.252 0.748
0.997 0.731 0.731
0.000 0.360 0.640
0.479 0.734 0.734
0.500 0.500 0.000
0.500 0.000 0.500
0.500 0.500 0.500
```

Properties
total magnetic moment: 0.00 Bohr magnetons per cell

x.
Entry from the Alexandria database: a relaxed Dy4Ho8Tm3 crystal (GGA-PBE).

The structure in POSCAR format:
```
Dy4Ho8Tm3
1.0
6.029 0.000 3.252
2.138 5.637 3.252
-2.522 -1.741 11.892
Dy Ho Tm
4 8 3
Direct
0.000 0.000 0.000
0.336 0.336 0.991
0.500 0.500 0.500
0.664 0.664 0.009
0.245 0.245 0.266
0.247 0.750 0.252
0.750 0.750 0.252
0.750 0.247 0.252
0.755 0.755 0.734
0.753 0.250 0.748
0.250 0.250 0.748
0.250 0.753 0.748
0.500 0.000 0.500
0.000 0.000 0.500
0.000 0.500 0.500
```

Properties
total magnetic moment: 0.00 Bohr magnetons per cell

It comes down to x, which is 0.262 eV/atom more stable than the next structure.